! Sm2PtBr | the Alexandria database | PBE | optimized geometry; values from VASP
! Uncorrected formation energy   -118.75 kJ per mole of atoms
! ρ   8.14 g/cm3
! Space-group type   R3m
! Polymorph energy (0 for the lowest one)   0.56 kcal/mol of atoms
&SYSTEM
  ibrav = 0, nat = 4, ntyp = 3
/
ATOMIC_SPECIES
Pt 195.08 Pt.upf
Sm 150.36 Sm.upf
Br 79.90 Br.upf
CELL_PARAMETERS angstrom
-0.498 0.186 -4.133
1.291 -3.153 -2.398
-6.739 -4.382 -1.486
ATOMIC_POSITIONS crystal
Pt 0.667 0.667 0.998
Sm 0.066 0.066 0.803
Br 0.497 0.497 0.508
Sm 0.270 0.270 0.191


! Sm3PtBr3 | the Alexandria database | PBE | optimized geometry; values from VASP
! Uncorrected formation energy   -142.75 kJ per mole of atoms
! ρ   6.76 g/cm3
! Space-group type   I4_132
&SYSTEM
  ibrav = 0, nat = 28, ntyp = 3
/
ATOMIC_SPECIES
Br 79.90 Br.upf
Sm 150.36 Sm.upf
Pt 195.08 Pt.upf
CELL_PARAMETERS angstrom
9.821 0.000 -3.472
-4.911 8.505 -3.472
0.000 0.000 10.417
ATOMIC_POSITIONS crystal
Br 0.246 0.250 0.754
Br 0.254 0.746 0.250
Br 0.750 0.996 0.504
Sm 0.985 0.235 0.470
Pt 0.500 0.250 0.500
Br 0.750 0.754 0.746
Br 0.009 0.504 0.754
Sm 0.250 0.015 0.485
Sm 0.735 0.265 0.750
Br 0.004 0.250 0.996
Sm 0.970 0.485 0.235
Pt 0.750 0.250 0.250
Pt 0.750 0.500 0.000
Br 0.254 0.509 0.504
Sm 0.985 0.750 0.015
Br 0.496 0.504 0.250
Sm 0.515 0.030 0.265
Br 0.004 0.754 0.509
Br 0.496 0.991 0.746
Pt 0.000 0.000 0.250
Br 0.491 0.746 0.996
Br 0.246 0.996 0.991
Sm 0.530 0.265 0.015
Sm 0.250 0.235 0.265
Sm 0.765 0.015 0.030
Sm 0.765 0.750 0.235
Sm 0.735 0.470 0.485
Sm 0.515 0.485 0.750


! Sm4Te2PtBr | the Alexandria database | PBE | optimized geometry; values from VASP
! Uncorrected formation energy   -123.34 kJ per mole of atoms
! ρ   8.02 g/cm3
! Space-group type   P2/m
&SYSTEM
  ibrav = 0, nat = 8, ntyp = 4
/
ATOMIC_SPECIES
Pt 195.08 Pt.upf
Sm 150.36 Sm.upf
Br 79.90 Br.upf
Te 127.60 Te.upf
CELL_PARAMETERS angstrom
4.204 0.000 0.000
0.000 7.697 -0.272
0.000 2.600 7.153
ATOMIC_POSITIONS crystal
Pt 0.000 0.500 0.500
Sm 0.000 0.739 0.736
Br 0.500 0.500 0.000
Te 0.000 0.000 0.000
Te 0.500 0.000 0.500
Sm 0.500 0.716 0.284
Sm 0.000 0.261 0.264
Sm 0.500 0.284 0.716